HoZn4CuNi2 | GGA-PBE | optimized geometry

Cell: 4.1269 4.1269 8.6151 Å, 76.14 76.14 60.00°
Last column: nearest neighbours and their distance in Å.
Atoms (fractional coordinates):
Ho1 0.0000 0.0000 0.0000  8 Zn 2.93-3.23
Zn1 0.4018 0.4018 0.7946  1 Cu 2.44, 3 Ni 2.49
Zn2 0.8701 0.8701 0.3898  4 Ni 2.51-2.62, 3 Cu 2.55
Zn3 0.1299 0.1299 0.6102  4 Ni 2.51-2.62, 3 Cu 2.55
Zn4 0.5982 0.5982 0.2054  1 Cu 2.44, 3 Ni 2.49
Cu1 0.5000 0.5000 0.5000  8 Zn 2.44-2.55
Ni1 0.7648 0.7648 0.7057  7 Zn 2.49-2.62
Ni2 0.2352 0.2352 0.2943  7 Zn 2.49-2.62

## Properties
Formation energy from the elements: -197 meV/atom
SG: R-3m, No. 166

---

LiHo2Au | GGA-PBE | optimized geometry

Cell: 3.8205 3.8205 9.1513 Å, 77.95 77.95 60.00°
Last column: nearest neighbours and their distance in Å.
Atoms (fractional coordinates):
Li1 0.5007 0.5007 0.4979  6 Ho 3.35-3.38
Ho1 0.0711 0.0711 0.7867  3 Au 2.92
Ho2 0.2622 0.2622 0.2134  3 Au 2.90
Au1 0.6660 0.6660 0.0020  6 Ho 2.90-2.92

## Properties
Formation energy from the elements: -192 meV/atom
SG: R3m, No. 160

---

PaGeH | GGA-PBE | optimized geometry

Cell: 3.9396 5.9383 8.7219 Å, 90.00 90.00 90.00°
Last column: nearest neighbours and their distance in Å.
Atoms (fractional coordinates):
Pa1 0.7500 0.2055 0.8873  3 H 2.20-2.27
Pa2 0.2500 0.7055 0.6127  3 H 2.20-2.27
Pa3 0.2500 0.7945 0.1127  3 H 2.20-2.27
Pa4 0.7500 0.2945 0.3873  3 H 2.20-2.27
Ge1 0.7500 0.8023 0.3622  4 H 2.58-2.78
Ge2 0.2500 0.3023 0.1378  4 H 2.58-2.78
Ge3 0.2500 0.1977 0.6378  4 H 2.58-2.78
Ge4 0.7500 0.6977 0.8622  4 H 2.58-2.78
H1 0.7500 0.9795 0.0871  3 Pa 2.20-2.27
H2 0.2500 0.4795 0.4129  3 Pa 2.20-2.27
H3 0.2500 0.0205 0.9129  3 Pa 2.20-2.27
H4 0.7500 0.5205 0.5871  3 Pa 2.20-2.27

## Properties
E above lowest polymorph: 113 meV per atom
SG: Pnma, No. 62

---

| no. | total magnetization (Bohr magnetons per cell) |
| --- | --- |
| 1 | 0.000 |
| 2 | 0.274 |
| 3 | 0.000 |